# 1
Entry from Alexandria: a relaxed AlSe2Br crystal (PBEsol).

Output
Uncorrected formation energy = -0.60 eV/atom
Space-group type = P2/m, No. 10
ΔE to the lowest computed polymorph = 0 kJ/mol of formula units

Cell and atoms, written as extended XYZ:
```
4
Lattice="4.989 0.000 0.000 0.000 3.688 0.000 -1.439 0.000 5.009" Properties=species:S:1:pos:R:3 pbc="T T T"
Al 0.000 0.000 0.000
Se 1.587 1.844 0.768
Se 1.964 1.844 4.241
Br -0.719 0.000 2.505
```


# 2
Entry from Alexandria: a relaxed CsMoSe2 crystal (PBEsol).

Output
Uncorrected formation energy = -0.39 eV/atom
Space-group type = I-42d, No. 122

Cell and atoms, written as extended XYZ:
```
8
Lattice="-3.799 3.799 4.579 3.799 -3.799 4.579 3.799 3.799 -4.579" Properties=species:S:1:pos:R:3 pbc="T T T"
Cs 0.000 0.000 0.000
Cs 0.000 3.799 2.290
Mo 3.799 0.000 2.290
Mo 0.000 0.000 4.579
Se 1.899 -0.882 3.434
Se 2.916 1.899 1.145
Se 1.899 4.681 -1.145
Se 0.882 1.899 5.724
```


# 3
Entry from Alexandria: a relaxed Sr3LiPd crystal (PBEsol).

Output
E_form = -204 meV/atom
Space-group type = Pm-3m, No. 221

Cell and atoms, written as extended XYZ:
```
5
Lattice="5.896 0.000 0.000 0.000 5.896 0.000 0.000 0.000 5.896" Properties=species:S:1:pos:R:3 pbc="T T T"
Sr 0.000 0.000 2.948
Sr 0.000 2.948 0.000
Sr 2.948 0.000 0.000
Li 2.948 2.948 2.948
Pd 0.000 0.000 0.000
```


# 4
Entry from Alexandria: a relaxed NiMoSe crystal (PBEsol).

Output
Uncorrected formation energy = 0.02 eV/atom
Space-group type = I4mm, No. 107
ΔE to the lowest computed polymorph = 0 kJ/mol of formula units

Cell and atoms, written as extended XYZ:
```
3
Lattice="-1.527 1.527 4.384 1.527 -1.527 4.384 1.527 1.527 -4.384" Properties=species:S:1:pos:R:3 pbc="T T T"
Ni 0.000 0.000 0.000
Mo 0.000 0.000 2.864
Se 0.000 0.000 5.760
```


# 5
Entry from Alexandria: a relaxed ReIr3 crystal (PBEsol).

Output
E_form = -112 meV/atom
Space-group type = Pmmn, No. 59
ΔE to the lowest computed polymorph = 11 kJ/mol of formula units

Cell and atoms, written as extended XYZ:
```
24
Lattice="5.442 0.000 0.000 0.000 13.243 0.000 0.000 0.000 4.715" Properties=species:S:1:pos:R:3 pbc="T T T"
Re 1.361 1.131 0.813
Re 1.361 5.490 0.813
Re 1.361 9.933 2.341
Re 4.082 3.311 2.374
Re 4.082 7.753 3.901
Re 4.082 12.112 3.901
Ir 5.440 1.093 3.154
Ir 5.440 5.529 3.154
Ir 0.002 7.715 1.560
Ir 0.002 12.151 1.560
Ir 0.011 9.933 0.005
Ir 1.361 3.311 2.325
Ir 1.361 7.759 3.915
Ir 1.361 12.106 3.915
Ir 2.710 9.933 0.005
Ir 2.723 1.093 3.154
Ir 2.723 5.529 3.154
Ir 2.719 7.715 1.560
Ir 2.719 12.151 1.560
Ir 2.732 3.311 4.710
Ir 4.082 1.137 0.800
Ir 4.082 5.485 0.800
Ir 4.082 9.933 2.390
Ir 5.431 3.311 4.710
```


# 6
Entry from Alexandria: a relaxed TiS2O8 crystal (PBEsol).

Output
Uncorrected formation energy = -1.76 eV/atom
Space-group type = Pbca, No. 61
ΔE to the lowest computed polymorph = 0 kJ/mol of formula units

Cell and atoms, written as extended XYZ:
```
88
Lattice="9.044 0.000 0.000 0.000 13.257 0.000 0.000 0.000 9.187" Properties=species:S:1:pos:R:3 pbc="T T T"
Ti 1.050 1.695 1.317
Ti 1.050 4.934 5.910
Ti 3.472 8.324 1.317
Ti 3.472 11.562 5.910
Ti 5.572 1.695 3.277
Ti 5.572 4.934 7.870
Ti 7.994 8.324 3.277
Ti 7.994 11.562 7.870
S 0.503 9.457 0.646
S 0.503 10.429 5.239
S 1.616 0.234 7.720
S 1.616 6.395 3.126
S 2.906 6.862 7.720
S 2.906 13.024 3.126
S 4.019 2.828 0.646
S 4.019 3.800 5.239
S 5.025 9.457 3.948
S 5.025 10.429 8.541
S 6.138 0.234 6.060
S 6.138 6.395 1.467
S 7.428 6.862 6.060
S 7.428 13.024 1.467
S 8.541 2.828 3.948
S 8.541 3.800 8.541
O 0.110 8.350 9.032
O 0.112 9.092 4.669
O 0.112 10.794 0.075
O 0.110 11.536 4.439
O 0.121 2.822 2.569
O 0.121 3.807 7.163
O 0.203 6.862 2.951
O 0.203 13.024 7.544
O 1.819 0.440 0.007
O 1.819 6.189 4.600
O 1.924 1.379 6.942
O 1.924 5.250 2.348
O 1.994 9.538 0.877
O 1.994 10.348 5.470
O 2.067 0.976 2.773
O 2.067 5.653 7.366
O 2.455 7.605 2.773
O 2.455 12.282 7.366
O 2.529 2.909 0.877
O 2.529 3.719 5.470
O 2.598 8.008 6.942
O 2.598 11.878 2.348
O 2.703 7.069 0.007
O 2.703 12.817 4.600
O 4.319 0.234 2.951
O 4.319 6.395 7.544
O 4.401 9.451 2.569
O 4.401 10.435 7.163
O 4.412 1.721 9.032
O 4.410 2.463 4.669
O 4.410 4.165 0.075
O 4.412 4.907 4.439
O 4.632 8.350 4.748
O 4.634 9.092 9.112
O 4.634 10.794 4.518
O 4.632 11.536 0.155
O 4.643 2.822 2.024
O 4.643 3.807 6.617
O 4.725 6.862 1.643
O 4.725 13.024 6.236
O 6.341 0.440 4.587
O 6.341 6.189 9.180
O 6.446 1.379 6.838
O 6.446 5.250 2.245
O 6.516 9.538 3.717
O 6.516 10.348 8.310
O 6.589 0.976 1.821
O 6.589 5.653 6.414
O 6.977 7.605 1.821
O 6.977 12.282 6.414
O 7.051 2.909 3.717
O 7.051 3.719 8.310
O 7.120 8.008 6.838
O 7.120 11.878 2.245
O 7.225 7.069 4.587
O 7.225 12.817 9.180
O 8.841 0.234 1.643
O 8.841 6.395 6.236
O 8.923 9.451 2.024
O 8.923 10.435 6.617
O 8.934 1.721 4.748
O 8.932 2.463 9.112
O 8.932 4.165 4.518
O 8.934 4.907 0.155
```


# 7
Entry from Alexandria: a relaxed GdMoClO4 crystal (PBEsol).

Output
Uncorrected formation energy = -2.50 eV/atom
Space-group type = C2/m, No. 12

Cell and atoms, written as extended XYZ:
```
14
Lattice="5.121 -3.654 0.000 5.121 3.654 0.000 -2.026 0.000 6.531" Properties=species:S:1:pos:R:3 pbc="T T T"
Gd 2.045 0.000 0.724
Gd 6.171 0.000 5.807
Mo 2.224 0.000 4.786
Mo 5.992 0.000 1.745
Cl -1.452 0.000 4.984
Cl 9.668 0.000 1.547
O 1.366 1.377 5.531
O 2.066 0.000 3.056
O 4.297 0.000 1.317
O 1.366 -1.377 5.531
O 6.849 1.377 1.000
O 3.919 0.000 5.214
O 6.150 0.000 3.475
O 6.849 -1.377 1.000
```


# 8
Entry from Alexandria: a relaxed SbAu5 crystal (PBEsol).

Output
Uncorrected formation energy = 0.02 eV/atom
Space-group type = P-62m, No. 189

Cell and atoms, written as extended XYZ:
```
6
Lattice="5.147 0.000 0.000 -2.573 4.457 0.000 0.000 0.000 4.724" Properties=species:S:1:pos:R:3 pbc="T T T"
Sb 0.000 0.000 0.000
Au -1.692 2.931 2.362
Au 0.000 2.972 0.000
Au 0.881 1.526 2.362
Au 3.384 0.000 2.362
Au 2.573 1.486 0.000
```


# 9
Entry from Alexandria: a relaxed LiNi2P crystal (PBEsol).

Output
E_form = -400 meV/atom
Space-group type = Cm, No. 8

Cell and atoms, written as extended XYZ:
```
4
Lattice="4.011 -1.446 0.000 4.011 1.446 0.000 -1.174 0.000 3.577" Properties=species:S:1:pos:R:3 pbc="T T T"
Li 0.000 0.000 0.000
Ni 3.516 0.000 1.888
Ni 5.822 0.000 0.657
P 1.146 0.000 2.356
```


# 10
Entry from Alexandria: a relaxed TlCr2S2 crystal (PBEsol).

Output
Uncorrected formation energy = 0.01 eV/atom
Space-group type = I4/mmm, No. 139

Cell and atoms, written as extended XYZ:
```
5
Lattice="-2.266 2.266 3.915 2.266 -2.266 3.915 2.266 2.266 -3.915" Properties=species:S:1:pos:R:3 pbc="T T T"
Tl 0.000 0.000 0.000
Cr 0.000 0.000 2.950
Cr 0.000 0.000 4.880
S 2.266 0.000 1.958
S 0.000 2.266 1.958
```


# 11
Entry from Alexandria: a relaxed Sr2SbW crystal (PBEsol).

Output
Uncorrected formation energy = 0.50 eV/atom
Space-group type = P4/mmm, No. 123

Cell and atoms, written as extended XYZ:
```
4
Lattice="3.209 0.000 0.000 0.000 3.209 0.000 0.000 0.000 10.054" Properties=species:S:1:pos:R:3 pbc="T T T"
Sr 0.000 0.000 2.436
Sr 0.000 0.000 7.618
Sb 1.604 1.604 5.027
W 1.604 1.604 0.000
```


# 12
Entry from Alexandria: a relaxed Dy5Tl3 crystal (PBEsol).

Output
E_form = -354 meV/atom
Space-group type = P6_3/mcm, No. 193

Cell and atoms, written as extended XYZ:
```
16
Lattice="8.891 0.000 0.000 -4.446 7.700 0.000 0.000 0.000 6.474" Properties=species:S:1:pos:R:3 pbc="T T T"
Dy -1.044 1.808 1.619
Dy -3.402 5.892 4.856
Dy 2.088 0.000 1.619
Dy 1.044 1.808 4.856
Dy 0.000 5.133 0.000
Dy 0.000 5.133 3.237
Dy 4.446 2.567 0.000
Dy 4.446 2.567 3.237
Dy 6.803 0.000 4.856
Dy 3.402 5.892 1.619
Tl -1.788 3.096 4.856
Tl -2.658 4.604 1.619
Tl 3.575 0.000 4.856
Tl 1.788 3.096 1.619
Tl 5.316 0.000 1.619
Tl 2.658 4.604 4.856
```


# 13
Entry from Alexandria: a relaxed RbAs2Os crystal (PBEsol).

Output
E_form = 109 meV/atom
Space-group type = I-42d, No. 122

Cell and atoms, written as extended XYZ:
```
8
Lattice="-3.583 3.583 4.818 3.583 -3.583 4.818 3.583 3.583 -4.818" Properties=species:S:1:pos:R:3 pbc="T T T"
Rb 0.000 0.000 0.000
Rb 0.000 3.583 2.409
As 1.792 2.743 -1.204
As 4.423 1.792 1.204
As 1.792 0.840 3.613
As -0.840 1.792 6.022
Os 3.583 0.000 2.409
Os 0.000 0.000 4.818
```


# 14
Entry from Alexandria: a relaxed NaCa9ScZn9Si20O60 crystal (PBEsol).

Output
Uncorrected formation energy = -2.68 eV/atom
Space-group type = C2, No. 5

Cell and atoms, written as extended XYZ:
```
100
Lattice="4.918 -4.469 0.000 4.918 4.469 0.000 -2.607 0.000 25.346" Properties=species:S:1:pos:R:3 pbc="T T T"
Na 0.000 0.000 0.000
Ca 3.615 3.611 12.673
Ca 1.453 0.024 5.098
Ca 0.148 -0.854 17.737
Ca 2.894 0.018 10.141
Ca 1.522 -0.895 22.747
Ca 4.336 0.018 15.205
Ca 5.707 -0.895 2.599
Ca 5.776 0.024 20.248
Ca 7.081 -0.854 7.609
Sc 4.918 1.012 0.000
Zn 1.589 2.734 22.803
Zn 0.861 0.987 20.280
Zn 5.641 2.734 2.543
Zn 2.172 -1.817 7.612
Zn 6.369 0.987 5.066
Zn 3.615 -1.815 12.673
Zn 2.891 -3.494 10.143
Zn 5.058 -1.817 17.734
Zn 4.339 -3.494 15.202
Si -1.261 0.971 22.721
Si 2.263 2.649 15.302
Si 3.528 2.661 4.986
Si 1.542 0.980 12.771
Si 2.785 0.991 2.463
Si 3.701 2.661 20.360
Si 4.967 2.649 10.044
Si 2.984 0.984 17.834
Si 4.245 0.984 7.512
Si 2.878 -1.848 0.105
Si 1.492 -1.820 15.105
Si 4.445 0.991 22.883
Si 5.688 0.980 12.575
Si 4.292 -1.830 5.171
Si 2.937 -1.830 20.175
Si 8.491 0.971 2.625
Si 2.217 -3.490 17.634
Si 5.737 -1.820 10.241
Si 4.351 -1.848 25.241
Si 5.012 -3.490 7.712
O 1.840 1.693 1.285
O 1.071 1.644 8.899
O -0.015 1.014 13.206
O 0.989 2.555 24.802
O 2.548 1.985 3.806
O 1.795 1.986 11.430
O -0.546 -0.411 10.521
O -1.792 -0.473 23.145
O 2.147 2.616 20.801
O 0.305 1.044 22.286
O -0.613 -0.402 19.889
O 0.687 -0.432 7.236
O 3.271 1.654 6.324
O 2.517 1.644 13.961
O 1.430 1.017 18.276
O 5.082 2.616 4.545
O 3.991 1.984 8.855
O 3.239 1.984 16.491
O 2.191 -0.413 2.937
O 0.899 -0.411 15.584
O 4.342 0.982 2.005
O 6.240 2.555 0.544
O 2.137 -0.428 12.293
O 0.883 -0.426 24.989
O 4.712 1.644 11.385
O 3.959 1.654 19.022
O 2.887 0.982 23.340
O 1.604 -1.855 9.608
O 5.434 1.986 13.916
O 4.681 1.985 21.540
O 2.336 -0.421 20.649
O 3.647 -0.425 7.985
O 2.738 -1.853 5.611
O 5.799 1.017 7.070
O 3.582 -0.425 17.361
O 4.893 -0.421 4.696
O 5.390 1.693 24.061
O 6.158 1.644 16.447
O 6.924 1.044 3.060
O 3.048 -1.854 14.670
O 1.963 -2.490 18.980
O 3.836 -2.466 1.313
O 6.347 -0.426 0.356
O 5.093 -0.428 13.053
O 4.181 -1.854 10.676
O 7.244 1.014 12.140
O 6.330 -0.411 9.761
O 5.038 -0.413 22.409
O 2.681 -2.833 21.516
O 4.548 -2.833 3.830
O 3.456 -3.454 8.146
O 4.492 -1.853 19.735
O 3.393 -2.466 24.033
O 5.266 -2.490 6.366
O 7.842 -0.402 5.457
O 6.542 -0.432 18.110
O 5.625 -1.855 15.738
O 3.773 -3.454 17.200
O 7.776 -0.411 14.825
O 9.021 -0.473 2.201
```


# 15
Entry from Alexandria: a relaxed YSiTc crystal (PBEsol).

Output
Uncorrected formation energy = -0.49 eV/atom
Space-group type = I4mm, No. 107
ΔE to the lowest computed polymorph = 0 kJ/mol of formula units

Cell and atoms, written as extended XYZ:
```
3
Lattice="-1.625 1.625 5.008 1.625 -1.625 5.008 1.625 1.625 -5.008" Properties=species:S:1:pos:R:3 pbc="T T T"
Y 0.000 0.000 0.000
Si 0.000 0.000 7.055
Tc 0.000 0.000 2.990
```


no.,energy (eV/atom)
1,-4.012
2,-5.496
3,-2.893
4,-7.235
5,-10.812
6,-7.129
7,-9.533
8,-4.013
9,-5.418
10,-6.371
11,-5.008
12,-4.452
13,-5.755
14,-7.392
15,-8.436